A plane-wave DFT calculation with PBE was carried out for a relaxed structure of PtPbW2.

uncorrected energy: -8.21 eV per atom
D(E_F): 5.54 states/eV per cell
ΔE_f: 0.70 eV/atom

Unit cell a=5.574 b=9.152 c=2.859 alpha=90.00 beta=102.27 gamma=90.00
Space group C2/m (No. 12)
Symmetry-distinct sites (fractional):
Pt1 0.000 0.000 0.000 x2
Pb1 0.000 0.500 0.000 x2
W1 0.250 0.250 0.500 x4